DFT (PBE with a Hubbard U) results for an optimized crystal structure of Li2VO2F.

Results
The total magnetic moment is 2.00 μB/f.u. Its offset from the most stable computed form is 74.8 meV per atom. The calculation puts the volume at 9.542 Å³/atom.

abc: 13.026 13.026 7.349
angles: 91.45 91.45 13.28
Element x y z (fractional)
Li1 0.000 0.000 0.000
Li2 0.133 0.133 0.328
Li3 0.202 0.202 0.038
Li4 0.334 0.334 0.275
Li5 0.401 0.401 0.996
Li6 0.533 0.533 0.320
Li7 0.599 0.599 0.007
Li8 0.738 0.738 0.300
Li9 0.789 0.789 0.038
Li10 0.935 0.935 0.315
V1 0.065 0.065 0.663
V2 0.261 0.261 0.690
V3 0.466 0.466 0.658
V4 0.663 0.663 0.673
V5 0.867 0.867 0.659
O1 0.131 0.131 0.822
O2 0.198 0.198 0.530
O3 0.267 0.267 0.173
O4 0.334 0.334 0.793
O5 0.398 0.398 0.502
O6 0.532 0.532 0.815
O7 0.598 0.598 0.512
O8 0.731 0.731 0.828
O9 0.934 0.934 0.811
O10 0.998 0.998 0.505
F1 0.065 0.065 0.164
F2 0.467 0.467 0.159
F3 0.662 0.662 0.172
F4 0.794 0.794 0.517
F5 0.871 0.871 0.154